Here is a geometry-optimized VTe2Pb structure from Alexandria via LeMat-Bulk. Energies are from PBE-GGA.

Summary:
- Theoretical density: 5.7 g cm⁻³
- Calculated volume: 299.8 Å³/cell
- Magnetization: 3.00 μB/f.u.
- Energy relative to the elements, uncorrected: -0.03 eV per atom
- Symmetry: I-42d

Lattice parameters (Å, degrees): 6.947 6.947 7.920 63.99 63.99 90.00
Last column: magnetic moment on the atom in μB.
Sites, in units of the cell vectors:
Pb 0.000 0.000 0.000  0.07
Pb 0.750 0.250 0.500  0.07
Te 0.566 0.125 0.250  -0.10
Te 0.184 0.625 0.250  -0.10
Te 0.375 0.434 0.750  -0.10
Te 0.875 0.816 0.750  -0.10
V 0.500 0.500 0.000  2.52
V 0.250 0.750 0.500  2.52



Here is a geometry-optimized VTePb3 structure from Alexandria via LeMat-Bulk. Energies are from PBE-GGA.

Summary:
- Theoretical density: 6.3 g cm⁻³
- Calculated volume: 211.6 Å³/cell
- Magnetization: 3.91 μB/f.u.
- Energy relative to the elements, uncorrected: 1.08 eV per atom
- Symmetry: Pm-3m

Lattice parameters (Å, degrees): 5.959 5.959 5.959 90.00 90.00 90.00
Last column: magnetic moment on the atom in μB.
Sites, in units of the cell vectors:
Pb 0.000 0.500 0.000  -0.01
Pb 0.000 0.000 0.500  -0.01
Pb 0.500 0.000 0.000  -0.01
Te 0.000 0.000 0.000  0.01
V 0.500 0.500 0.500  3.16



Here is a geometry-optimized TePb2W structure from Alexandria via LeMat-Bulk. Energies are from PBE-GGA.

Summary:
- Theoretical density: 11.2 g cm⁻³
- Calculated volume: 108.0 Å³/cell
- Magnetization: 0.00 μB/f.u.
- Energy relative to the elements, uncorrected: 0.60 eV per atom
- Symmetry: Cmmm

Lattice parameters (Å, degrees): 3.062 3.062 11.857 90.00 90.00 103.80
Sites, in units of the cell vectors:
Pb 0.000 0.000 0.950
Pb 0.000 0.000 0.550
Te 0.500 0.500 0.250
W 0.500 0.500 0.750



Question: Look up the theoretical density of the second one.
Answer: 6.3 g cm⁻³



Question: What is the formula in the first record?
Answer: VTe2Pb